Below is an optimized crystal structure of Ni2AsPdSe, with properties calculated at the PBE level.

Structure (POSCAR):
```
Ni2AsPdSe
1.0
6.0653 0.0000 0.0000
0.0000 3.7506 0.0000
-2.0401 0.0000 7.1893
Ni As Pd Se
4 2 2 2
Cartesian
0.2951 0.9377 0.9479
1.6557 2.8130 2.6685
2.3695 0.9377 4.5208
3.7301 2.8130 6.2414
1.7056 2.8130 0.3658
2.3196 0.9377 6.8235
-0.1248 0.9377 5.8907
4.1500 2.8130 1.2986
0.3671 0.9377 3.3048
3.6581 2.8130 3.8845
```

For the uncorrected formation energy, the calculation gives -1.11 eV per formula unit. The value obtained for the final energy is -52.00 eV for the cell shown.